Entry from Alexandria: InTcNi6 at its PBEsol-relaxed geometry (SCAN).

## Properties
Formation enthalpy at 0 K ... 51 meV/atom
DOS(E_F) ... 7.33 states/eV/f.u.

The structure in CIF format:
```
data_InTcNi6
_cell_length_a 7.223
_cell_length_b 10.223
_cell_length_c 10.235
_cell_angle_alpha 90.00
_cell_angle_beta 90.00
_cell_angle_gamma 90.00
_symmetry_space_group_name_H-M 'C m m m'
_symmetry_Int_Tables_number 65
_symmetry_space_group_name_Hall '-C 2 2'
loop_
_atom_site_label
_atom_site_type_symbol
_atom_site_fract_x
_atom_site_fract_y
_atom_site_fract_z
In1 In 0.000 0.000 0.248
In2 In 0.000 0.246 0.500
Tc1 Tc 0.000 0.248 0.000
Tc2 Tc 0.000 0.500 0.252
Ni1 Ni 0.000 0.000 0.000
Ni2 Ni 0.000 0.000 0.500
Ni3 Ni 0.000 0.256 0.240
Ni4 Ni 0.000 0.500 0.000
Ni5 Ni 0.000 0.500 0.500
Ni6 Ni 0.241 0.378 0.369
Ni7 Ni 0.242 0.372 0.120
```